Entry 1:
ReRu2Pt: single point on PBEsol structure, SCAN.

Calculated values
ΔE to the lowest computed polymorph   0.0 meV/atom
Volume   14.0 A^3/atom
Energy of formation from the pure elements   -0.0451 eV/atom

abc: 4.635 4.635 4.635
angles: 130.77 130.77 72.18
Atoms (fractional coordinates):
Re  0.000  0.000  0.000
Ru  0.250  0.750  0.500
Ru  0.750  0.250  0.500
Pt  0.500  0.500  0.000

---

Entry 2:
ZrScTl2: single point on PBEsol structure, SCAN.

Calculated values
Volume   23.0 A^3/atom
Energy of formation from the pure elements   -0.2284 eV/atom

abc: 9.810 9.810 9.810
angles: 19.52 19.52 19.52
Atoms (fractional coordinates):
Zr  0.000  0.000  0.000
Sc  0.500  0.500  0.500
Tl  0.249  0.249  0.249
Tl  0.751  0.751  0.751

---

Entry 3:
InTcAs2: single point on PBEsol structure, SCAN.

Calculated values
Volume   18.9 A^3/atom
Energy of formation from the pure elements   0.2139 eV/atom

abc: 2.963 2.963 9.714
angles: 90.00 90.00 117.34
Atoms (fractional coordinates):
In  0.000  0.000  0.000
Tc  0.000  0.000  0.500
As  0.500  0.500  0.298
As  0.500  0.500  0.702

---

Entry 4:
CdCoP4O12: single point on PBEsol structure, SCAN.

Calculated values
Volume   12.5 A^3/atom
Energy relative to the elements, uncorrected   -2.202 eV per atom

abc: 7.418 7.418 9.816
angles: 112.56 112.56 70.84
Atoms (fractional coordinates):
Cd  0.049  0.951  0.750
Cd  0.951  0.049  0.250
Co  0.000  0.500  0.500
Co  0.500  0.000  0.000
P  0.269  0.720  0.028
P  0.280  0.731  0.472
P  0.308  0.308  0.301
P  0.308  0.308  0.801
P  0.692  0.692  0.199
P  0.692  0.692  0.699
P  0.720  0.269  0.528
P  0.731  0.280  0.972
O  0.085  0.817  0.076
O  0.123  0.295  0.325
O  0.183  0.915  0.424
O  0.185  0.353  0.654
O  0.200  0.687  0.575
O  0.266  0.488  0.948
O  0.288  0.539  0.322
O  0.295  0.123  0.825
O  0.313  0.800  0.925
O  0.353  0.185  0.154
O  0.461  0.712  0.178
O  0.488  0.266  0.448
O  0.512  0.734  0.552
O  0.539  0.288  0.822
O  0.647  0.815  0.846
O  0.687  0.200  0.075
O  0.705  0.877  0.175
O  0.712  0.461  0.678
O  0.734  0.512  0.052
O  0.800  0.313  0.425
O  0.815  0.647  0.346
O  0.817  0.085  0.576
O  0.877  0.705  0.675
O  0.915  0.183  0.924

---

Entry 5:
CaTlB2: single point on PBEsol structure, SCAN.

Calculated values
ΔE to the lowest computed polymorph   181.3 meV/atom
Volume   15.9 A^3/atom
Energy of formation from the pure elements   1.0783 eV/atom

abc: 4.485 4.485 4.485
angles: 60.00 60.00 60.00
Atoms (fractional coordinates):
Ca  0.000  0.000  0.000
Tl  0.500  0.500  0.500
B  0.250  0.250  0.250
B  0.750  0.750  0.750

---

Entry 6:
AgMo2IrF: single point on PBEsol structure, SCAN.

Calculated values
Volume   22.3 A^3/atom
Energy relative to the elements, uncorrected   1.186 eV per atom

abc: 4.704 4.704 5.045
angles: 90.00 90.00 90.00
Atoms (fractional coordinates):
Ag  0.000  0.000  0.000
Mo  0.000  0.500  0.500
Mo  0.500  0.000  0.500
Ir  0.000  0.000  0.500
F  0.500  0.500  0.000

---

Entry 7:
Ca2FeP2H8O12: single point on PBEsol structure, SCAN.

Calculated values
Volume   9.2 A^3/atom
Calculated total energy   -210.3 eV per cell

abc: 5.851 6.371 6.806
angles: 70.04 78.44 75.28
Atoms (fractional coordinates):
Ca  0.205  0.170  0.293
Ca  0.795  0.830  0.707
Fe  0.500  0.500  0.500
P  0.273  0.062  0.784
P  0.727  0.938  0.216
H  0.126  0.676  0.310
H  0.180  0.436  0.825
H  0.271  0.673  0.791
H  0.323  0.649  0.121
H  0.677  0.351  0.879
H  0.729  0.327  0.209
H  0.820  0.564  0.175
H  0.874  0.324  0.690
O  0.068  0.094  0.655
O  0.183  0.185  0.952
O  0.192  0.594  0.721
O  0.263  0.558  0.269
O  0.384  0.806  0.879
O  0.479  0.166  0.624
O  0.521  0.834  0.376
O  0.616  0.194  0.121
O  0.737  0.442  0.731
O  0.808  0.406  0.279
O  0.817  0.815  0.048
O  0.932  0.906  0.345

---

Entry 8:
RuPtSe2: single point on PBEsol structure, SCAN.

Calculated values
ΔE to the lowest computed polymorph   329.8 meV/atom
Volume   15.6 A^3/atom
Energy relative to the elements, uncorrected   0.383 eV per atom

abc: 4.438 4.438 3.164
angles: 90.00 90.00 90.00
Atoms (fractional coordinates):
Ru  0.000  0.000  0.000
Pt  0.500  0.500  0.000
Se  0.000  0.500  0.500
Se  0.500  0.000  0.500

---

Entry 9:
Li3CuNi3O8: single point on PBEsol structure, SCAN.

Calculated values
Volume   8.8 A^3/atom
Energy relative to the elements, uncorrected   -1.407 eV per atom

abc: 5.685 5.692 5.696
angles: 118.77 91.18 119.63
Atoms (fractional coordinates):
Li  0.000  0.000  0.000
Li  0.000  0.500  0.000
Li  0.500  0.000  0.000
Cu  0.000  0.500  0.500
Ni  0.000  0.000  0.500
Ni  0.500  0.000  0.500
Ni  0.500  0.500  0.500
O  0.244  0.457  0.703
O  0.245  0.981  0.710
O  0.262  0.995  0.259
O  0.274  0.537  0.291
O  0.726  0.463  0.709
O  0.738  0.005  0.741
O  0.755  0.019  0.290
O  0.756  0.543  0.297

---

Entry 10:
Be3In: single point on PBEsol structure, SCAN.

Calculated values
ΔE to the lowest computed polymorph   0.0 meV/atom
Volume   12.5 A^3/atom
Energy of formation from the pure elements   0.5047 eV/atom

abc: 2.951 3.491 4.874
angles: 90.00 90.00 90.00
Atoms (fractional coordinates):
Be  0.000  0.000  0.000
Be  0.500  0.500  0.218
Be  0.500  0.500  0.782
In  0.000  0.000  0.500

---

Entry 11:
Tl2BrF2: single point on PBEsol structure, SCAN.

Calculated values
Volume   21.0 A^3/atom
Energy relative to the elements, uncorrected   -1.413 eV per atom

abc: 7.176 7.176 7.176
angles: 147.71 147.71 46.31
Atoms (fractional coordinates):
Tl  0.138  0.138  0.000
Tl  0.862  0.862  0.000
Br  0.500  0.500  0.000
F  0.250  0.750  0.500
F  0.750  0.250  0.500

---

Entry 12:
MnCrFe2: single point on PBEsol structure, SCAN.

Calculated values
Volume   10.8 A^3/atom
Energy of formation from the pure elements   0.0581 eV/atom

abc: 2.393 3.924 4.644
angles: 90.00 99.50 90.00
Atoms (fractional coordinates):
Mn  0.000  0.000  0.000
Cr  0.778  0.500  0.246
Fe  0.273  0.500  0.746
Fe  0.517  0.000  0.502

---

Entry 13:
CsKZnPt2: single point on PBEsol structure, SCAN.

Calculated values
Volume   32.4 A^3/atom
Energy of formation from the pure elements   1.1853 eV/atom

abc: 5.299 5.299 5.779
angles: 90.00 90.00 90.00
Atoms (fractional coordinates):
Cs  0.000  0.000  0.000
K  0.500  0.500  0.500
Zn  0.500  0.500  0.000
Pt  0.000  0.500  0.500
Pt  0.500  0.000  0.500

---

Entry 14:
Cd2TcOs2: single point on PBEsol structure, SCAN.

Calculated values
Volume   17.4 A^3/atom
Energy of formation from the pure elements   1.2311 eV/atom

abc: 7.443 7.443 7.443
angles: 152.64 152.64 39.09
Atoms (fractional coordinates):
Cd  0.250  0.750  0.500
Cd  0.750  0.250  0.500
Tc  0.000  0.000  0.000
Os  0.412  0.412  0.000
Os  0.588  0.588  0.000

---

Entry 15:
SrScHg2: single point on PBEsol structure, SCAN.

Calculated values
Volume   24.7 A^3/atom
Energy of formation from the pure elements   -0.6550 eV/atom

abc: 3.608 3.608 7.586
angles: 90.00 90.00 90.00
Atoms (fractional coordinates):
Sr  0.000  0.000  0.000
Sc  0.000  0.000  0.500
Hg  0.500  0.500  0.293
Hg  0.500  0.500  0.707

---

Entry 16:
KLiCd2: single point on PBEsol structure, SCAN.

Calculated values
ΔE to the lowest computed polymorph   0.0 meV/atom
Volume   25.7 A^3/atom
Energy of formation from the pure elements   -0.1093 eV/atom

abc: 3.542 3.542 8.206
angles: 90.00 90.00 90.00
Atoms (fractional coordinates):
K  0.000  0.000  0.000
Li  0.000  0.000  0.500
Cd  0.500  0.500  0.322
Cd  0.500  0.500  0.678

---

Entry 17:
CuH3NCl: single point on PBEsol structure, SCAN.

Calculated values
Volume   11.4 A^3/atom
Calculated total energy   -183.4 eV per cell

abc: 7.083 7.083 7.083
angles: 109.47 109.47 109.47
Atoms (fractional coordinates):
Cu  0.000  0.745  0.500
Cu  0.500  0.000  0.745
Cu  0.745  0.500  0.000
Cu  0.755  0.755  0.755
H  0.010  0.480  0.649
H  0.020  0.030  0.169
H  0.030  0.169  0.020
H  0.139  0.470  0.490
H  0.169  0.020  0.030
H  0.331  0.361  0.851
H  0.361  0.851  0.331
H  0.470  0.490  0.139
H  0.480  0.649  0.010
H  0.490  0.139  0.470
H  0.649  0.010  0.480
H  0.851  0.331  0.361
N  0.000  0.480  0.500
N  0.020  0.020  0.020
N  0.480  0.500  0.000
N  0.500  0.000  0.480
Cl  0.000  0.039  0.500
Cl  0.039  0.500  0.000
Cl  0.461  0.461  0.461
Cl  0.500  0.000  0.039

---

Entry 18:
YScZn4: single point on PBEsol structure, SCAN.

Calculated values
Volume   17.2 A^3/atom
Energy of formation from the pure elements   -0.4357 eV/atom

abc: 5.269 5.269 5.269
angles: 60.00 60.00 60.00
Atoms (fractional coordinates):
Y  0.000  0.000  0.000
Sc  0.250  0.250  0.250
Zn  0.126  0.625  0.625
Zn  0.625  0.126  0.625
Zn  0.625  0.625  0.126
Zn  0.625  0.625  0.625

---

Entry 19:
Er2B2Cl2O5: single point on PBEsol structure, SCAN.

Calculated values
Volume   17.4 A^3/atom
Energy relative to the elements, uncorrected   -3.087 eV per atom

abc: 9.987 14.739 5.213
angles: 90.00 90.00 90.00
Atoms (fractional coordinates):
Er  0.030  0.121  0.000
Er  0.070  0.609  0.000
Er  0.430  0.109  0.000
Er  0.470  0.621  0.000
Er  0.530  0.379  0.000
Er  0.570  0.891  0.000
Er  0.930  0.391  0.000
Er  0.970  0.879  0.000
B  0.197  0.267  0.000
B  0.244  0.934  0.000
B  0.256  0.434  0.000
B  0.303  0.767  0.000
B  0.697  0.233  0.000
B  0.744  0.566  0.000
B  0.756  0.066  0.000
B  0.803  0.733  0.000
Cl  0.009  0.131  0.500
Cl  0.086  0.609  0.500
Cl  0.414  0.109  0.500
Cl  0.491  0.631  0.500
Cl  0.509  0.369  0.500
Cl  0.586  0.891  0.500
Cl  0.914  0.391  0.500
Cl  0.991  0.869  0.500
O  0.061  0.276  0.000
O  0.127  0.464  0.000
O  0.133  0.988  0.000
O  0.212  0.840  0.000
O  0.243  0.179  0.000
O  0.257  0.679  0.000
O  0.288  0.340  0.000
O  0.367  0.488  0.000
O  0.373  0.964  0.000
O  0.439  0.776  0.000
O  0.561  0.224  0.000
O  0.627  0.036  0.000
O  0.633  0.512  0.000
O  0.712  0.660  0.000
O  0.743  0.321  0.000
O  0.757  0.821  0.000
O  0.788  0.160  0.000
O  0.867  0.012  0.000
O  0.873  0.536  0.000
O  0.939  0.724  0.000

---

Entry 20:
AgIO4: single point on PBEsol structure, SCAN.

Calculated values
Volume   13.5 A^3/atom
Energy relative to the elements, uncorrected   -0.161 eV per atom

abc: 6.913 6.913 6.913
angles: 135.07 135.07 65.42
Atoms (fractional coordinates):
Ag  0.375  0.125  0.250
Ag  0.625  0.875  0.750
I  0.125  0.375  0.750
I  0.875  0.625  0.250
O  0.047  0.215  0.345
O  0.202  0.547  0.332
O  0.285  0.130  0.832
O  0.370  0.702  0.155
O  0.630  0.298  0.845
O  0.715  0.870  0.168
O  0.798  0.453  0.668
O  0.953  0.785  0.655

---

Entry 21:
Zn3InAgS5: single point on PBEsol structure, SCAN.

Calculated values
Volume   20.9 A^3/atom
Energy relative to the elements, uncorrected   -0.759 eV per atom

abc: 6.383 6.725 10.290
angles: 109.00 90.01 90.04
Atoms (fractional coordinates):
Zn  0.000  0.000  0.000
Zn  0.001  0.191  0.400
Zn  0.493  0.932  0.196
Zn  0.499  0.329  0.002
Zn  0.506  0.748  0.814
Zn  0.999  0.803  0.614
In  0.001  0.599  0.208
In  0.500  0.129  0.604
Ag  0.002  0.407  0.803
Ag  0.504  0.535  0.407
S  0.363  0.796  0.620
S  0.364  0.179  0.392
S  0.366  0.008  0.006
S  0.387  0.601  0.193
S  0.392  0.416  0.812
S  0.863  0.322  0.007
S  0.864  0.943  0.200
S  0.865  0.755  0.808
S  0.887  0.118  0.592
S  0.893  0.529  0.419